Record 1
Ba2H8PtO8 | meta-GGA SCAN | single point on PBEsol structure

Results
The mass density comes out at 5.341 Mg/m³. As for the space group: No. 61. For the total magnetization, the calculation gives 0.000 μB per atom. The electronic total energy comes out at -13.4565 eV per atom.

Unit cell a=8.656 b=8.508 c=10.230 alpha=90.00 beta=90.00 gamma=90.00
Fractional positions:
Ba: 0.786 0.276 0.226
Ba: 0.286 0.224 0.774
Ba: 0.214 0.776 0.274
Ba: 0.714 0.724 0.726
Ba: 0.214 0.724 0.774
Ba: 0.714 0.776 0.226
Ba: 0.786 0.224 0.726
Ba: 0.286 0.276 0.274
H: 0.536 0.532 0.412
H: 0.036 0.968 0.588
H: 0.464 0.032 0.088
H: 0.964 0.468 0.912
H: 0.464 0.468 0.588
H: 0.964 0.032 0.412
H: 0.536 0.968 0.912
H: 0.036 0.532 0.088
H: 0.505 0.013 0.256
H: 0.005 0.487 0.744
H: 0.495 0.513 0.244
H: 0.995 0.987 0.756
H: 0.495 0.987 0.744
H: 0.995 0.513 0.256
H: 0.505 0.487 0.756
H: 0.005 0.013 0.244
H: 0.715 0.040 0.985
H: 0.215 0.460 0.015
H: 0.285 0.540 0.515
H: 0.785 0.960 0.485
H: 0.285 0.960 0.015
H: 0.785 0.540 0.985
H: 0.715 0.460 0.485
H: 0.215 0.040 0.515
H: 0.032 0.209 0.512
H: 0.532 0.291 0.488
H: 0.968 0.709 0.988
H: 0.468 0.791 0.012
H: 0.968 0.791 0.488
H: 0.468 0.709 0.512
H: 0.032 0.291 0.012
H: 0.532 0.209 0.988
Pt: 0.500 0.000 0.500
Pt: 0.000 0.500 0.500
Pt: 0.500 0.500 0.000
Pt: 0.000 0.000 0.000
O: 0.571 0.433 0.372
O: 0.071 0.067 0.628
O: 0.429 0.933 0.128
O: 0.929 0.567 0.872
O: 0.429 0.567 0.628
O: 0.929 0.933 0.372
O: 0.571 0.067 0.872
O: 0.071 0.433 0.128
O: 0.570 0.073 0.323
O: 0.070 0.427 0.677
O: 0.430 0.573 0.177
O: 0.930 0.927 0.823
O: 0.430 0.927 0.677
O: 0.930 0.573 0.323
O: 0.570 0.427 0.823
O: 0.070 0.073 0.177
O: 0.782 0.021 0.064
O: 0.282 0.479 0.936
O: 0.218 0.521 0.436
O: 0.718 0.979 0.564
O: 0.218 0.979 0.936
O: 0.718 0.521 0.064
O: 0.782 0.479 0.564
O: 0.282 0.021 0.436
O: 0.001 0.276 0.434
O: 0.501 0.224 0.566
O: 0.999 0.776 0.066
O: 0.499 0.724 0.934
O: 0.999 0.724 0.566
O: 0.499 0.776 0.434
O: 0.001 0.224 0.934
O: 0.501 0.276 0.066



Record 2
K2Pt2Se | meta-GGA SCAN | single point on PBEsol structure

Results
The mass density comes out at 7.098 Mg/m³. As for the space group: No. 139. For the total magnetization, the calculation gives 0.000 μB per atom. The value obtained for the energy relative to the elements, uncorrected is -0.35 eV per atom.

Unit cell a=3.591 b=3.591 c=10.250 alpha=100.09 beta=100.09 gamma=90.00
Fractional positions:
K: 0.395 0.395 0.789
K: 0.605 0.605 0.211
Se: 0.000 0.000 0.000
Pt: 0.250 0.750 0.500
Pt: 0.750 0.250 0.500



Record 3
Li2LaZnGe | meta-GGA SCAN | single point on PBEsol structure

Results
The formation energy comes out at 1.049 eV/atom. The mass density comes out at 2.211 Mg/m³. As for the space group: No. 123. For the total magnetization, the calculation gives 0.000 μB per atom.

Unit cell a=5.367 b=6.379 c=6.379 alpha=90.00 beta=90.00 gamma=90.00
Fractional positions:
Ge: 0.500 0.000 0.000
Li: 0.000 0.000 0.500
Li: 0.000 0.500 0.000
Zn: 0.500 0.500 0.500
La: 0.000 0.000 0.000



Record 4
PtAu3 | meta-GGA SCAN | single point on PBEsol structure

Results
The formation energy comes out at 0.054 eV/atom. The mass density comes out at 19.895 Mg/m³. As for the space group: No. 47. For the total magnetization, the calculation gives 0.000 μB per atom.

Unit cell a=2.856 b=4.000 c=5.742 alpha=90.00 beta=90.00 gamma=90.00
Fractional positions:
Au: 0.000 0.000 0.754
Au: 0.000 0.000 0.246
Au: 0.500 0.500 0.500
Pt: 0.500 0.500 0.000



Record 5
ZnSiRh2 | meta-GGA SCAN | single point on PBEsol structure

Results
The mass density comes out at 9.338 Mg/m³. As for the space group: No. 99. For the total magnetization, the calculation gives 0.000 μB per atom. The value obtained for the energy relative to the elements, uncorrected is -0.38 eV per atom. Its energy relative to the lowest polymorph listed for this composition is 390 meV per atom.

Unit cell a=3.158 b=3.158 c=5.336 alpha=90.00 beta=90.00 gamma=90.00
Fractional positions:
Rh: 0.000 0.000 0.959
Rh: 0.500 0.500 0.291
Si: 0.000 0.000 0.486
Zn: 0.500 0.500 0.764



Record 6
La2ZnHg | meta-GGA SCAN | single point on PBEsol structure

Results
The formation energy comes out at -0.548 eV/atom. The mass density comes out at 8.536 Mg/m³. As for the space group: No. 123. For the total magnetization, the calculation gives 0.000 μB per atom. Its energy relative to the lowest polymorph listed for this composition is 0 meV per atom.

Unit cell a=3.784 b=3.784 c=7.389 alpha=90.00 beta=90.00 gamma=90.00
Fractional positions:
Zn: 0.500 0.500 0.000
Hg: 0.500 0.500 0.500
La: 0.000 0.000 0.768
La: 0.000 0.000 0.232



Record 7
CrB | meta-GGA SCAN | single point on PBEsol structure

Results
The formation energy comes out at -0.508 eV/atom. The mass density comes out at 6.432 Mg/m³. As for the space group: No. 63. For the total magnetization, the calculation gives 0.002 μB per atom.

Unit cell a=2.891 b=2.889 c=4.143 alpha=69.59 beta=90.00 gamma=90.00
Fractional positions:
Cr: 0.750 0.854 0.291
Cr: 0.250 0.146 0.709
B: 0.750 0.565 0.869
B: 0.250 0.435 0.131



Record 8
Ba3Sn2O7 | meta-GGA SCAN | single point on PBEsol structure

Results
The mass density comes out at 6.816 Mg/m³. As for the space group: No. 63. For the total magnetization, the calculation gives 0.000 μB per atom. The value obtained for the energy relative to the elements, uncorrected is -2.51 eV per atom.

Unit cell a=5.872 b=5.873 c=11.150 alpha=105.27 beta=90.00 gamma=90.00
Fractional positions:
Ba: 0.750 0.435 0.370
Ba: 0.250 0.935 0.370
Ba: 0.250 0.565 0.630
Ba: 0.750 0.065 0.630
Ba: 0.250 0.750 0.000
Ba: 0.750 0.250 0.000
Sn: 0.250 0.347 0.193
Sn: 0.750 0.847 0.193
Sn: 0.750 0.653 0.807
Sn: 0.250 0.153 0.807
O: 0.000 0.095 0.190
O: 0.500 0.095 0.190
O: 0.500 0.595 0.191
O: 0.000 0.595 0.191
O: 0.250 0.442 0.385
O: 0.750 0.943 0.385
O: 0.250 0.057 0.615
O: 0.750 0.558 0.615
O: 0.000 0.405 0.809
O: 0.500 0.405 0.809
O: 0.500 0.905 0.810
O: 0.000 0.905 0.810
O: 0.750 0.749 0.000
O: 0.250 0.251 0.000



Record 9
Ba2SrGa2 | meta-GGA SCAN | single point on PBEsol structure

Results
The formation energy comes out at -0.254 eV/atom. The mass density comes out at 4.620 Mg/m³. As for the space group: No. 127. For the total magnetization, the calculation gives 0.000 μB per atom. Its energy relative to the lowest polymorph listed for this composition is 0 meV per atom.

Unit cell a=4.250 b=9.213 c=9.213 alpha=90.00 beta=90.00 gamma=90.00
Fractional positions:
Sr: 0.000 0.000 0.000
Sr: 0.000 0.500 0.500
Ba: 0.500 0.161 0.661
Ba: 0.500 0.661 0.839
Ba: 0.500 0.839 0.339
Ba: 0.500 0.339 0.161
Ga: 0.000 0.372 0.872
Ga: 0.000 0.872 0.628
Ga: 0.000 0.628 0.128
Ga: 0.000 0.128 0.372



Record 10
Mn2Nb4Zn3O16 | meta-GGA SCAN | single point on PBEsol structure

Results
The mass density comes out at 5.446 Mg/m³. As for the space group: No. 1. For the total magnetization, the calculation gives 0.320 μB per atom. The value obtained for the energy relative to the elements, uncorrected is -2.33 eV per atom.

Unit cell a=5.103 b=5.853 c=9.758 alpha=102.19 beta=88.90 gamma=91.92
Site moments in Bohr magnetons follow the coordinates.
Fractional positions:
Mn: 0.245 0.642 0.996  3.67
Mn: 0.759 0.346 0.996  3.67
Nb: 0.253 0.064 0.775  0.08
Nb: 0.242 0.282 0.248  0.04
Nb: 0.734 0.940 0.221  0.08
Nb: 0.756 0.710 0.751  0.04
Zn: 0.234 0.866 0.470  0.00
Zn: 0.780 0.134 0.549  0.00
Zn: 0.718 0.548 0.435  0.00
O: 0.922 0.044 0.870  0.04
O: 0.583 0.197 0.130  0.01
O: 0.067 0.955 0.132  0.03
O: 0.410 0.801 0.867  0.01
O: 0.453 0.319 0.888  0.04
O: 0.075 0.432 0.105  0.00
O: 0.553 0.686 0.108  0.02
O: 0.927 0.559 0.890  0.01
O: 0.566 0.927 0.644  0.00
O: 0.913 0.267 0.352  0.01
O: 0.647 0.447 0.614  0.00
O: 0.862 0.830 0.386  0.00
O: 0.362 0.560 0.367  0.00
O: 0.139 0.172 0.619  0.00
O: 0.067 0.747 0.647  0.01
O: 0.418 0.065 0.350  0.00



Record 11
MgSi2Ru | meta-GGA SCAN | single point on PBEsol structure

Results
The mass density comes out at 5.376 Mg/m³. As for the space group: No. 216. For the total magnetization, the calculation gives 0.000 μB per atom. The value obtained for the energy relative to the elements, uncorrected is 0.21 eV per atom.

Unit cell a=4.296 b=4.296 c=4.296 alpha=60.00 beta=60.00 gamma=60.00
Fractional positions:
Mg: 0.500 0.500 0.500
Ru: 0.250 0.250 0.250
Si: 0.000 0.000 0.000
Si: 0.750 0.750 0.750



Record 12
RbSi3O | meta-GGA SCAN | single point on PBEsol structure

Results
The mass density comes out at 3.344 Mg/m³. As for the space group: No. 221. For the total magnetization, the calculation gives 0.000 μB per atom. The value obtained for the energy relative to the elements, uncorrected is 0.70 eV per atom. Its energy relative to the lowest polymorph listed for this composition is 0 meV per atom.

Unit cell a=4.518 b=4.518 c=4.518 alpha=90.00 beta=90.00 gamma=90.00
Fractional positions:
Si: 0.000 0.500 0.000
Si: 0.000 0.000 0.500
Si: 0.500 0.000 0.000
O: 0.000 0.000 0.000
Rb: 0.500 0.500 0.500



Record 13
CsK5Zn4Sn5S17 | meta-GGA SCAN | single point on PBEsol structure

Results
The mass density comes out at 3.190 Mg/m³. As for the space group: No. 119. For the total magnetization, the calculation gives 0.000 μB per atom. The value obtained for the energy relative to the elements, uncorrected is -0.94 eV per atom.

Unit cell a=9.499 b=10.830 c=10.830 alpha=78.91 beta=63.99 gamma=63.99
Fractional positions:
Cs: 0.250 0.500 0.500
K: 0.762 0.000 0.475
K: 0.762 0.475 0.000
K: 0.238 0.000 0.525
K: 0.500 0.000 0.000
K: 0.238 0.525 0.000
Zn: 0.999 0.862 0.862
Zn: 0.140 0.862 0.138
Zn: 0.722 0.138 0.138
Zn: 0.140 0.138 0.862
Sn: 0.775 0.224 0.776
Sn: 0.750 0.500 0.500
Sn: 0.775 0.776 0.224
Sn: 0.002 0.224 0.224
Sn: 0.449 0.776 0.776
S: 0.573 0.007 0.279
S: 0.011 0.282 0.718
S: 0.420 0.721 0.007
S: 0.860 0.721 0.993
S: 0.420 0.007 0.721
S: 0.011 0.718 0.282
S: 0.707 0.282 0.282
S: 0.602 0.358 0.642
S: 0.756 0.642 0.642
S: 0.860 0.993 0.721
S: 0.602 0.642 0.358
S: 0.041 0.358 0.358
S: 0.573 0.279 0.007
S: 0.148 0.279 0.993
S: 0.271 0.718 0.718
S: 0.000 0.000 0.000
S: 0.148 0.993 0.279



Record 14
La3Rh2 | meta-GGA SCAN | single point on PBEsol structure

Results
The formation energy comes out at -0.668 eV/atom. The mass density comes out at 8.304 Mg/m³. As for the space group: No. 43. For the total magnetization, the calculation gives 0.000 μB per atom. Its energy relative to the lowest polymorph listed for this composition is 68 meV per atom.

Unit cell a=6.155 b=6.215 c=8.100 alpha=100.84 beta=112.33 gamma=60.32
Fractional positions:
La: 0.217 0.840 0.418
La: 0.638 0.160 0.582
La: 0.307 0.660 0.918
La: 0.048 0.340 0.082
La: 0.937 0.500 0.500
La: 0.687 0.000 0.000
Rh: 0.673 0.612 0.751
Rh: 0.535 0.388 0.249
Rh: 0.536 0.888 0.251
Rh: 0.172 0.112 0.749



Record 15
LiSb4Pt | meta-GGA SCAN | single point on PBEsol structure

Results
The mass density comes out at 7.479 Mg/m³. As for the space group: No. 216. For the total magnetization, the calculation gives 0.000 μB per atom. The value obtained for the energy relative to the elements, uncorrected is 0.47 eV per atom.

Unit cell a=6.003 b=6.003 c=6.003 alpha=60.00 beta=60.00 gamma=60.00
Fractional positions:
Li: 0.750 0.750 0.750
Pt: 0.000 0.000 0.000
Sb: 0.374 0.374 0.374
Sb: 0.374 0.374 0.877
Sb: 0.877 0.374 0.374
Sb: 0.374 0.877 0.374



Record 16
Cu2RuBr | meta-GGA SCAN | single point on PBEsol structure

Results
The mass density comes out at 9.130 Mg/m³. As for the space group: No. 71. For the total magnetization, the calculation gives 0.001 μB per atom. The value obtained for the energy relative to the elements, uncorrected is 0.78 eV per atom. Its energy relative to the lowest polymorph listed for this composition is 5 meV per atom.

Unit cell a=2.922 b=4.356 c=5.124 alpha=115.15 beta=106.56 gamma=90.00
Fractional positions:
Br: 0.000 0.500 0.000
Cu: 0.749 0.749 0.499
Cu: 0.251 0.251 0.501
Ru: 0.500 0.000 0.000



Record 17
Zr2OsCl | meta-GGA SCAN | single point on PBEsol structure

Results
The mass density comes out at 8.040 Mg/m³. As for the space group: No. 166. For the total magnetization, the calculation gives 0.000 μB per atom. The value obtained for the energy relative to the elements, uncorrected is -0.70 eV per atom. Its energy relative to the lowest polymorph listed for this composition is 0 meV per atom.

Unit cell a=3.795 b=3.795 c=7.104 alpha=74.51 beta=74.51 gamma=60.00
Fractional positions:
Os: 0.000 0.000 0.000
Zr: 0.266 0.266 0.202
Zr: 0.734 0.734 0.798
Cl: 0.500 0.500 0.500



Record 18
Te2MoS | meta-GGA SCAN | single point on PBEsol structure

Results
The mass density comes out at 7.454 Mg/m³. As for the space group: No. 166. For the total magnetization, the calculation gives 0.000 μB per atom. The value obtained for the energy relative to the elements, uncorrected is 1.02 eV per atom.

Unit cell a=3.226 b=3.226 c=9.652 alpha=80.38 beta=80.38 gamma=60.00
Fractional positions:
Mo: 0.000 0.000 0.000
Te: 0.908 0.908 0.277
Te: 0.092 0.092 0.723
S: 0.500 0.500 0.500



Record 19
MgCo2Rh | meta-GGA SCAN | single point on PBEsol structure

Results
The formation energy comes out at -0.043 eV/atom. The mass density comes out at 8.088 Mg/m³. As for the space group: No. 123. For the total magnetization, the calculation gives 1.049 μB per atom.

Unit cell a=2.847 b=4.204 c=4.204 alpha=90.00 beta=90.00 gamma=90.00
Site moments in Bohr magnetons follow the coordinates.
Fractional positions:
Co: 0.000 0.000 0.500  1.79
Co: 0.000 0.500 0.000  1.79
Mg: 0.500 0.500 0.500  -0.04
Rh: 0.500 0.000 0.000  0.78



Record 20
InCoRe2 | meta-GGA SCAN | single point on PBEsol structure

Results
The formation energy comes out at 0.512 eV/atom. The mass density comes out at 15.364 Mg/m³. As for the space group: No. 10. For the total magnetization, the calculation gives 0.478 μB per atom.

Unit cell a=2.731 b=4.324 c=5.166 alpha=90.00 beta=104.60 gamma=90.00
Site moments in Bohr magnetons follow the coordinates.
Fractional positions:
Re: 0.698 0.000 0.764  0.06
Re: 0.302 0.000 0.236  0.06
Co: 0.500 0.500 0.000  1.80
In: 0.000 0.500 0.500  -0.02